Record 1
DyMgAl2Ga2 PBE-GGA relaxed; DFT formation energy = -0.342 eV per atom; spin magnetization = 0.00 μB/cell; symmetry = P-3m1
1.0
-1.892 0.114 4.115
3.462 -2.803 -0.824
4.189 4.645 1.797
Al Ga Mg Dy
2 2 1 1
Direct
0.333 0.667 0.288
0.667 0.333 0.712
0.333 0.667 0.731
0.667 0.333 0.269
0.000 0.000 0.500
0.000 0.000 0.000



Record 2
TbPm2DySc5 PBE-GGA relaxed; DFT formation energy = 0.272 eV per atom; spin magnetization = 0.00 μB/cell; symmetry = I4/mcm
1.0
-0.199 7.825 2.786
-7.349 -1.464 3.587
7.166 -5.266 2.913
Tb Dy Sc Pm
2 2 10 4
Direct
0.750 0.250 0.500
0.250 0.750 0.500
0.250 0.250 0.500
0.750 0.750 0.500
0.928 0.428 0.276
0.428 0.348 0.276
0.500 0.500 0.000
0.000 0.000 0.000
0.572 0.652 0.724
0.152 0.072 0.724
0.072 0.572 0.724
0.348 0.848 0.276
0.652 0.152 0.724
0.848 0.928 0.276
0.120 0.380 0.000
0.880 0.620 0.000
0.380 0.880 0.000
0.620 0.120 0.000



Record 3
CaSi2SnO6 PBE-GGA relaxed; E above lowest polymorph = 28 meV per atom; formation energy from raw total energies = -2.510 eV/atom; spin magnetization = 0.00 μB/cell; symmetry = C2/c
1.0
7.322 0.052 0.090
0.744 7.284 0.090
1.065 0.969 5.314
Si O Sn Ca
4 12 2 2
Direct
0.177 0.371 0.243
0.823 0.629 0.757
0.629 0.823 0.257
0.371 0.177 0.743
0.295 0.307 0.968
0.032 0.698 0.667
0.596 0.191 0.660
0.307 0.295 0.468
0.698 0.032 0.167
0.968 0.302 0.333
0.302 0.968 0.833
0.191 0.596 0.160
0.404 0.809 0.340
0.705 0.693 0.032
0.693 0.705 0.532
0.809 0.404 0.840
0.129 0.871 0.250
0.871 0.129 0.750
0.671 0.329 0.250
0.329 0.671 0.750



Repeat the second record exactly.
TbPm2DySc5 PBE-GGA relaxed; DFT formation energy = 0.272 eV per atom; spin magnetization = 0.00 μB/cell; symmetry = I4/mcm
1.0
-0.199 7.825 2.786
-7.349 -1.464 3.587
7.166 -5.266 2.913
Tb Dy Sc Pm
2 2 10 4
Direct
0.750 0.250 0.500
0.250 0.750 0.500
0.250 0.250 0.500
0.750 0.750 0.500
0.928 0.428 0.276
0.428 0.348 0.276
0.500 0.500 0.000
0.000 0.000 0.000
0.572 0.652 0.724
0.152 0.072 0.724
0.072 0.572 0.724
0.348 0.848 0.276
0.652 0.152 0.724
0.848 0.928 0.276
0.120 0.380 0.000
0.880 0.620 0.000
0.380 0.880 0.000
0.620 0.120 0.000



Copy entry 1 word for word.
DyMgAl2Ga2 PBE-GGA relaxed; DFT formation energy = -0.342 eV per atom; spin magnetization = 0.00 μB/cell; symmetry = P-3m1
1.0
-1.892 0.114 4.115
3.462 -2.803 -0.824
4.189 4.645 1.797
Al Ga Mg Dy
2 2 1 1
Direct
0.333 0.667 0.288
0.667 0.333 0.712
0.333 0.667 0.731
0.667 0.333 0.269
0.000 0.000 0.500
0.000 0.000 0.000



What is the formula in the third record? CaSi2SnO6